(1)
# meta-GGA SCAN KIn4, PBEsol geometry
data_KIn4
_cell_length_a 7.103
_cell_length_b 7.103
_cell_length_c 7.103
_cell_angle_alpha 90.00
_cell_angle_beta 90.00
_cell_angle_gamma 90.00
_symmetry_space_group_name_H-M 'I m -3 m'
_symmetry_Int_Tables_number 229
_symmetry_space_group_name_Hall '-I 4 2 3'
loop_
_atom_site_label
_atom_site_fract_x
_atom_site_fract_y
_atom_site_fract_z
K1 0.000 0.000 0.000
In1 0.250 0.250 0.250
# Offset from the most stable computed form in meV/atom: 837.1
# Volume in Å³/cell: 358.31
# Total magnetization in Bohr magnetons per cell: 0.00
# Energy in eV for the cell shown: -277.951
# Formation enthalpy at 0 K in eV/atom: 0.580


(2)
# meta-GGA SCAN K2LaIn, PBEsol geometry
data_K2LaIn
_cell_length_a 3.935
_cell_length_b 3.935
_cell_length_c 11.484
_cell_angle_alpha 90.00
_cell_angle_beta 90.00
_cell_angle_gamma 90.00
_symmetry_space_group_name_H-M 'P 4 m m'
_symmetry_Int_Tables_number 99
loop_
_symmetry_equiv_pos_as_xyz
'x,y,z'
'-y,x,z'
'-x,-y,z'
'y,-x,z'
'-x,y,z'
'y,x,z'
'x,-y,z'
'-y,-x,z'
loop_
_atom_site_label
_atom_site_fract_x
_atom_site_fract_y
_atom_site_fract_z
K1 0.000 0.000 0.000
K2 0.500 0.500 0.344
La1 0.000 0.000 0.644
In1 0.500 0.500 0.790
# Volume in Å³/cell: 177.82
# Total magnetization in Bohr magnetons per cell: 0.00
# Energy in eV for the cell shown: -93.540
# Formation enthalpy at 0 K in eV/atom: -0.098


(3)
# meta-GGA SCAN KLa2In, PBEsol geometry
data_KLa2In
_cell_length_a 7.159
_cell_length_b 10.954
_cell_length_c 3.299
_cell_angle_alpha 90.00
_cell_angle_beta 90.00
_cell_angle_gamma 90.00
_symmetry_space_group_name_H-M 'C m m m'
_symmetry_Int_Tables_number 65
_symmetry_space_group_name_Hall '-C 2 2'
loop_
_atom_site_label
_atom_site_fract_x
_atom_site_fract_y
_atom_site_fract_z
K1 0.000 0.000 0.000
La1 0.250 0.250 0.500
In1 0.000 0.500 0.000
# Volume in Å³/cell: 258.69
# Total magnetization in Bohr magnetons per cell: 0.00
# Energy in eV for the cell shown: -255.115
# Formation enthalpy at 0 K in eV/atom: 0.092


(4)
# meta-GGA SCAN KLa2In, PBEsol geometry
data_KLa2In
_cell_length_a 8.040
_cell_length_b 8.040
_cell_length_c 8.040
_cell_angle_alpha 90.00
_cell_angle_beta 90.00
_cell_angle_gamma 90.00
_symmetry_space_group_name_H-M 'F -4 3 m'
_symmetry_Int_Tables_number 216
_symmetry_space_group_name_Hall 'F -4 2 3'
loop_
_atom_site_label
_atom_site_fract_x
_atom_site_fract_y
_atom_site_fract_z
K1 0.000 0.000 0.000
La1 0.000 0.000 0.500
La2 0.250 0.250 0.250
In1 0.250 0.250 0.750
# Volume in Å³/cell: 519.66
# Total magnetization in Bohr magnetons per cell: 7.77
# Energy in eV for the cell shown: -510.121
# Formation enthalpy at 0 K in eV/atom: 0.099